PaNiPb2S5 | PBE | optimized geometry

Results
The space group is Cmc2_1 (36). For the density, the calculation gives 6.60 g/cm3. The value obtained for the uncorrected formation energy is -0.8626 eV/atom.

Lattice parameters (Å, degrees): 3.966 8.843 12.718 90.00 90.00 102.96
Site moments in Bohr magnetons follow the coordinates.
Element x y z (fractional)
Pa 0.803 0.606 0.526  -0.01
Pa 0.197 0.394 0.026  -0.01
Ni 0.569 0.137 0.933  0.61
Ni 0.431 0.863 0.433  0.61
Pb 0.878 0.756 0.839  0.00
Pb 0.082 0.165 0.667  0.00
Pb 0.122 0.244 0.339  0.00
Pb 0.918 0.835 0.167  0.00
S 0.352 0.704 0.007  0.01
S 0.696 0.392 0.886  0.02
S 0.499 0.997 0.783  0.05
S 0.292 0.584 0.667  0.00
S 0.956 0.912 0.516  0.07
S 0.648 0.296 0.507  0.01
S 0.304 0.608 0.386  0.02
S 0.501 0.003 0.283  0.05
S 0.708 0.416 0.167  0.00
S 0.044 0.088 0.016  0.07

=====

PaNiPbSe3 | PBE | optimized geometry

Results
The space group is P2_1/m (11). For the density, the calculation gives 7.70 g/cm3. The value obtained for the uncorrected formation energy is -0.7929 eV/atom.

Lattice parameters (Å, degrees): 4.031 8.327 9.751 104.90 90.00 90.00
Site moments in Bohr magnetons follow the coordinates.
Element x y z (fractional)
Pa 0.250 0.676 0.158  0.91
Pa 0.750 0.324 0.842  0.91
Ni 0.250 0.068 0.616  -0.05
Ni 0.750 0.932 0.384  -0.05
Pb 0.250 0.165 0.311  0.01
Pb 0.750 0.835 0.689  0.01
Se 0.750 0.911 0.133  -0.01
Se 0.250 0.089 0.867  -0.01
Se 0.250 0.784 0.452  -0.01
Se 0.750 0.216 0.548  -0.01
Se 0.750 0.427 0.151  -0.03
Se 0.250 0.573 0.849  -0.03

=====

PaNiPb2Se5 | PBE | optimized geometry

Results
The space group is Cmc2_1 (36). For the density, the calculation gives 7.43 g/cm3. The value obtained for the uncorrected formation energy is -0.7552 eV/atom.

Lattice parameters (Å, degrees): 4.106 9.480 12.935 90.00 90.00 102.51
Site moments in Bohr magnetons follow the coordinates.
Element x y z (fractional)
Pa 0.798 0.597 0.526  0.02
Pa 0.202 0.403 0.026  0.02
Ni 0.578 0.156 0.959  0.59
Ni 0.422 0.844 0.459  0.59
Pb 0.907 0.814 0.794  0.01
Pb 0.111 0.223 0.650  0.00
Pb 0.093 0.186 0.294  0.01
Pb 0.889 0.777 0.150  0.00
Se 0.353 0.706 0.994  0.01
Se 0.695 0.390 0.882  0.02
Se 0.517 0.034 0.795  0.05
Se 0.279 0.558 0.674  0.00
Se 0.949 0.897 0.550  0.05
Se 0.647 0.294 0.494  0.01
Se 0.305 0.610 0.382  0.02
Se 0.483 0.966 0.295  0.05
Se 0.721 0.442 0.174  0.00
Se 0.051 0.103 0.050  0.05

=====

Pa3Ni2Pd | PBE | optimized geometry

Results
The space group is Pmc2_1 (26). For the energy of formation, the calculation gives -0.3017 eV/atom. For the density, the calculation gives 12.81 g/cm3.

Lattice parameters (Å, degrees): 3.798 7.049 8.878 90.00 90.00 90.00
Element x y z (fractional)
Pa 0.500 0.180 0.138
Pa 0.500 0.181 0.732
Pa 0.000 0.372 0.405
Pa 0.500 0.680 0.862
Pa 0.500 0.681 0.268
Pa 0.000 0.872 0.595
Ni 0.000 0.955 0.269
Ni 0.500 0.073 0.435
Ni 0.000 0.455 0.731
Ni 0.500 0.573 0.565
Pd 0.000 0.939 0.972
Pd 0.000 0.439 0.028

=====

PaNi9Pd2 | PBE | optimized geometry

Results
The space group is P4/mbm (127). For the energy of formation, the calculation gives -0.2034 eV/atom. For the density, the calculation gives 10.44 g/cm3.

Lattice parameters (Å, degrees): 4.750 8.070 8.070 90.00 90.00 90.00
Site moments in Bohr magnetons follow the coordinates.
Element x y z (fractional)
Pa 0.000 0.500 0.500  -0.33
Pa 0.000 0.000 0.000  -0.33
Ni 0.500 0.500 0.000  0.40
Ni 0.500 0.000 0.500  0.40
Ni 0.500 0.706 0.564  0.30
Ni 0.500 0.294 0.436  0.30
Ni 0.500 0.206 0.936  0.30
Ni 0.500 0.794 0.064  0.30
Ni 0.500 0.436 0.706  0.30
Ni 0.500 0.564 0.294  0.30
Ni 0.500 0.064 0.206  0.30
Ni 0.500 0.936 0.794  0.30
Ni 0.757 0.823 0.323  0.38
Ni 0.757 0.177 0.677  0.38
Ni 0.757 0.323 0.177  0.38
Ni 0.757 0.677 0.823  0.38
Ni 0.243 0.177 0.677  0.38
Ni 0.243 0.823 0.323  0.38
Ni 0.243 0.677 0.823  0.38
Ni 0.243 0.323 0.177  0.38
Pd 0.000 0.620 0.120  0.04
Pd 0.000 0.380 0.880  0.04
Pd 0.000 0.120 0.380  0.04
Pd 0.000 0.880 0.620  0.04

=====

Pa2Ni15Pd2 | PBE | optimized geometry

Results
The space group is R-3m (166). For the energy of formation, the calculation gives -0.2590 eV/atom. The relative energy among the computed polymorphs is 0 meV/atom. For the density, the calculation gives 10.51 g/cm3.

Lattice parameters (Å, degrees): 6.308 6.308 6.308 82.93 82.93 82.93
Site moments in Bohr magnetons follow the coordinates.
Element x y z (fractional)
Pa 0.340 0.340 0.340  -0.23
Pa 0.660 0.660 0.660  -0.23
Ni 0.500 0.000 0.000  0.37
Ni 0.000 0.000 0.500  0.37
Ni 0.000 0.500 0.000  0.37
Ni 0.000 0.693 0.307  0.23
Ni 0.693 0.307 0.000  0.23
Ni 0.307 0.000 0.693  0.23
Ni 0.307 0.693 0.000  0.23
Ni 0.693 0.000 0.307  0.23
Ni 0.000 0.307 0.693  0.23
Ni 0.163 0.650 0.650  0.29
Ni 0.650 0.650 0.163  0.29
Ni 0.650 0.163 0.650  0.29
Ni 0.837 0.350 0.350  0.29
Ni 0.350 0.350 0.837  0.29
Ni 0.350 0.837 0.350  0.29
Pd 0.107 0.107 0.107  0.04
Pd 0.893 0.893 0.893  0.04

=====

no.,calculated volume (Å³/atom),total magnetization (μB/atom)
1,24.15,0.095
2,26.36,0.171
3,27.31,0.095
4,19.81,0.000
5,12.89,0.219
6,12.93,0.187